Record 1
LaNd3Dy8, optimized geometry, DFT GGA-PBE; ΔH_f (0 K) = 0.61 eV per atom; SG = I-42m (121)
1.0
7.586 -0.438 -3.570
-4.422 7.028 -1.240
-0.276 0.438 8.380
La Nd Dy
1 3 8
Cartesian
0.000 0.000 0.000
0.408 5.162 -0.620
2.481 1.867 4.190
-2.349 3.733 3.570
2.616 1.634 -0.008
0.284 5.378 3.562
-3.394 5.395 1.165
6.272 1.650 2.421
0.133 2.689 1.785
5.105 0.606 -1.785
-3.006 4.778 6.555
3.546 5.984 0.584

---

Record 2
MnFe2PRu, optimized geometry, DFT GGA-PBE; ΔH_f (0 K) = 1.45 eV per atom; SG = P4/mmm (123)
1.0
4.524 0.000 0.000
0.000 4.690 0.000
0.000 0.000 4.524
Ru Mn Fe P
1 1 2 1
Cartesian
0.000 0.000 0.000
0.000 2.345 0.000
0.000 0.000 2.262
2.262 0.000 0.000
2.262 2.345 2.262

---

Record 3
Np2Pd4S5, optimized geometry, DFT GGA-PBE; SG = R-3m (166); uncorrected formation energy = -15.41 kcal/mol of atoms
1.0
3.927 0.000 0.000
1.964 3.401 0.000
1.964 1.134 16.144
Np Pd S
2 4 5
Cartesian
1.964 1.134 9.726
5.891 3.401 6.419
5.891 3.401 15.286
3.927 2.268 4.124
3.927 2.268 12.021
1.964 1.134 0.858
5.891 3.401 11.188
3.927 2.268 1.716
3.927 2.268 8.072
3.927 2.268 14.429
1.964 1.134 4.957

---

Record 4
KCd4Rh, optimized geometry, DFT GGA-PBE; ΔH_f (0 K) = -0.08 eV per atom; polymorph energy (0 for the lowest one) = 0 meV/atom; SG = P2_1/m (11)
1.0
-4.130 -0.526 -3.855
-2.209 -6.079 3.196
-1.829 4.189 6.702
K Cd Rh
2 8 2
Cartesian
-6.926 -1.806 4.488
-1.378 -0.981 1.749
-4.776 1.046 3.259
-3.529 -3.836 2.980
-3.961 3.740 4.871
-3.238 -3.487 -0.232
-4.893 -1.479 1.683
-4.309 -3.779 5.854
-3.995 0.991 0.384
-3.411 -1.309 4.555
-5.661 -4.061 1.076
-2.643 1.272 5.162

---

Record 5
MnPHCS, optimized geometry, DFT GGA-PBE; polymorph energy (0 for the lowest one) = 327 meV/atom; SG = Cm (8)
1.0
-2.442 0.277 1.253
-0.252 -3.857 3.395
1.094 0.894 4.969
Mn P H C S
1 1 1 1 1
Cartesian
-0.970 -0.587 3.559
-2.034 -3.362 5.134
-1.370 -1.294 5.976
-1.884 -1.579 5.034
0.473 -3.046 6.914

---

Record 6
NdSm3As4, optimized geometry, DFT GGA-PBE; ΔH_f (0 K) = -1.53 eV per atom; polymorph energy (0 for the lowest one) = 0 meV/atom; SG = Pm-3m (221)
1.0
5.979 0.000 0.000
0.000 5.979 0.000
0.000 0.000 5.979
As Nd Sm
4 1 3
Cartesian
2.989 0.000 0.000
0.000 2.989 0.000
0.000 0.000 2.989
2.989 2.989 2.989
0.000 0.000 0.000
0.000 2.989 2.989
2.989 0.000 2.989
2.989 2.989 0.000

---

Record 7
Pr2NdTmSe5, optimized geometry, DFT GGA-PBE; SG = P4/mmm (123); uncorrected formation energy = -31.08 kcal/mol of atoms
1.0
5.072 0.000 0.000
0.000 5.072 0.000
0.000 0.000 10.949
Pr Nd Tm Se
2 1 1 5
Cartesian
2.536 2.536 3.473
2.536 2.536 7.475
0.000 0.000 0.000
0.000 0.000 5.474
0.000 2.536 5.474
2.536 0.000 5.474
0.000 0.000 8.195
0.000 0.000 2.754
2.536 2.536 0.000

---

Record 8
RbNa2Ga, optimized geometry, DFT GGA-PBE; ΔH_f (0 K) = 0.33 eV per atom; SG = R-3m (166)
1.0
-0.341 0.702 3.685
-3.273 -0.650 1.747
2.805 -12.672 4.599
Na Ga Rb
2 1 1
Cartesian
1.907 -9.830 3.974
-2.716 -2.790 6.056
0.000 0.000 0.000
-0.404 -6.310 5.015

---

Record 9
B2HRu, optimized geometry, DFT GGA-PBE; polymorph energy (0 for the lowest one) = 0 meV/atom; SG = I4_1/amd (141)
1.0
3.566 0.000 0.000
0.000 3.566 0.000
1.783 1.783 4.746
Ru B H
2 4 2
Cartesian
0.000 0.000 0.000
3.566 1.783 2.373
1.782 0.891 1.187
1.784 2.674 1.187
2.674 3.567 3.560
4.457 3.565 3.560
1.783 1.783 0.000
1.783 3.566 2.373

---

Record 10
Ba3Hf2PbO9, optimized geometry, DFT GGA-PBE; SG = P-3m1 (164); uncorrected formation energy = -64.70 kcal/mol of atoms
1.0
6.004 0.000 0.000
-3.002 5.199 0.000
0.000 0.000 7.359
Ba Hf Pb O
3 2 1 9
Cartesian
0.000 3.466 4.887
0.000 0.000 0.000
3.002 1.733 2.471
0.000 3.466 1.186
3.002 1.733 6.173
0.000 0.000 3.679
4.464 0.889 4.953
3.002 3.421 4.953
1.540 0.889 4.953
1.462 4.310 2.406
0.000 1.778 2.406
-1.462 4.310 2.406
3.002 0.000 0.000
-1.501 2.600 0.000
1.501 2.600 0.000

---

Record 11
K2HfPaN4, optimized geometry, DFT GGA-PBE; SG = P2/m (10); uncorrected formation energy = -22.59 kcal/mol of atoms
1.0
-2.591 2.042 1.162
-0.537 -3.817 5.511
3.632 2.294 4.066
K Hf Pa N
2 1 1 4
Cartesian
3.632 2.294 4.066
0.521 2.168 2.614
-1.564 -0.887 3.336
1.548 -0.762 4.789
2.483 -0.741 6.838
-1.978 1.260 3.902
-0.672 -0.903 5.350
1.177 1.422 5.389

---

Record 12
Pm2PbS4, optimized geometry, DFT GGA-PBE; polymorph energy (0 for the lowest one) = 0 meV/atom; SG = Pnma (62); uncorrected formation energy = -36.78 kcal/mol of atoms
1.0
-2.364 3.198 -1.020
-10.025 -7.408 0.010
-2.145 2.922 14.129
Pm Pb S
8 4 16
Cartesian
-4.396 4.452 11.750
-10.137 -5.740 1.369
-8.827 -0.045 7.920
-5.707 -1.243 5.199
-6.698 0.359 12.515
-7.836 -1.647 0.604
-11.052 -4.243 8.182
-3.482 2.955 4.937
-8.634 -3.647 4.447
-5.900 2.359 8.672
-3.269 -0.423 2.118
-11.265 -0.865 11.001
-2.769 2.009 0.321
-11.764 -3.297 12.798
-8.524 -0.683 5.220
-6.009 -0.605 7.899
-12.925 -2.590 9.440
-1.609 1.302 3.679
-8.034 1.280 10.238
-6.500 -2.568 2.881
-5.561 -0.265 -0.336
-8.973 -1.023 13.455
-11.517 -2.684 5.882
-3.017 1.396 7.236
-4.420 1.666 11.333
-10.114 -2.954 1.786
-9.132 -2.447 9.359
-5.402 1.159 3.760

---

Record 13
LiErAl2Ag4, optimized geometry, DFT GGA-PBE; ΔH_f (0 K) = -0.26 eV per atom; SG = R-3m (166)
1.0
-0.184 -1.030 -4.443
3.757 0.316 -2.573
2.995 -7.877 -0.642
Li Er Al Ag
1 1 2 4
Cartesian
3.284 -4.296 -3.829
0.000 0.000 0.000
4.911 -6.382 -5.758
1.657 -2.210 -1.901
3.862 -6.744 -3.286
4.278 -3.701 -6.353
2.290 -4.891 -1.305
2.706 -1.848 -4.373

---

Record 14
UGePd2, optimized geometry, DFT GGA-PBE; ΔH_f (0 K) = -0.24 eV per atom; SG = P4/mmm (123)
1.0
-1.580 -0.327 -2.679
-2.483 -1.039 1.591
-2.481 6.880 0.623
Ge U Pd
1 1 2
Cartesian
-2.031 -0.683 -0.544
-3.272 2.757 -0.233
-1.956 5.424 0.491
-0.525 1.456 0.132

---

Record 15
LiTmTlSn, optimized geometry, DFT GGA-PBE; ΔH_f (0 K) = -0.35 eV per atom; polymorph energy (0 for the lowest one) = 52 meV/atom; SG = F-43m (216)
1.0
5.158 0.000 0.000
2.579 4.467 0.000
2.579 1.489 4.211
Tl Tm Sn Li
1 1 1 1
Cartesian
2.579 1.489 1.053
0.000 0.000 0.000
7.737 4.467 3.159
5.158 2.978 2.106

---

Record 16
Hf2FeIr, optimized geometry, DFT GGA-PBE; ΔH_f (0 K) = -0.66 eV per atom; polymorph energy (0 for the lowest one) = 0 meV/atom; SG = Fm-3m (225)
1.0
0.000 3.225 3.225
3.225 0.000 3.225
3.225 3.225 0.000
Ir Hf Fe
1 2 1
Cartesian
3.225 3.225 3.225
1.613 1.613 1.613
4.838 4.838 4.838
0.000 0.000 0.000

---

The evaluated M_tot for the records listed, in turn: 0.02 10.06 7.71 0.00 0.00 0.00 0.00 0.00 0.00 0.00 0.68 0.00 0.00 2.48 0.00 1.01 μB per formula unit.
The evaluated calculated total energy for the records listed, in turn: -4.057 -6.708 -6.785 -2.097 -5.987 -6.217 -5.372 -1.327 -5.939 -7.740 -7.848 -5.841 -3.428 -6.812 -3.540 -9.963 eV per atom.